No. 1
DFT (PBE) results for crystalline Rb2Ga2Ge3 at its relaxed geometry.

Properties
total energy	-0.22817	Ry per atom

a b c (Å): 12.492 4.461 7.687
angles (deg): 90.00 121.36 90.00
Space group C2/m (No. 12)
Symmetry-distinct sites (fractional):
Rb (0.156, 0.000, 0.302)
Ga (0.156, 0.000, 0.798)
Ge (0.000, 0.500, 0.500)
Ge (0.092, 0.500, 0.922)

=====

No. 2
DFT (PBE) results for crystalline RbGa3Ge at its relaxed geometry.

Properties
total energy	-0.11777	Ry per atom
energy above the most stable polymorph in this dataset	1.319	eV per atom

a b c (Å): 5.763 5.763 5.763
angles (deg): 90.00 90.00 90.00
Space group Pm-3m (No. 221)
Symmetry-distinct sites (fractional):
Rb (0.000, 0.000, 0.000)
Ga (0.000, 0.000, 0.500)
Ge (0.500, 0.500, 0.500)

=====

No. 3
DFT (PBE) results for crystalline Rb5Ga4Ge2 at its relaxed geometry.

Properties
total energy	-0.16440	Ry per atom

a b c (Å): 12.710 6.918 10.061
angles (deg): 90.00 117.43 90.00
Space group C2/m (No. 12)
Symmetry-distinct sites (fractional):
Rb (0.000, 0.000, 0.000)
Rb (0.079, 0.252, 0.369)
Ga (0.199, 0.500, 0.736)
Ga (0.212, 0.500, 0.994)
Ge (0.214, 0.000, 0.740)

=====

No. 4
DFT (PBE) results for crystalline Rb2GaGe at its relaxed geometry.

Properties
total energy	-0.13716	Ry per atom
energy above the most stable polymorph in this dataset	0.565	eV per atom

a b c (Å): 4.880 4.880 24.424
angles (deg): 90.00 90.00 90.00
Space group I-42d (No. 122)
Symmetry-distinct sites (fractional):
Rb (0.247, 0.250, 0.125)
Ga (0.000, 0.000, 0.000)
Ge (0.000, 0.000, 0.500)

=====

No. 5
DFT (PBE) results for crystalline Rb2Ga2Ge at its relaxed geometry.

Properties
total energy	-0.17099	Ry per atom
energy above the most stable polymorph in this dataset	0.268	eV per atom

a b c (Å): 3.777 3.777 23.632
angles (deg): 90.00 90.00 90.00
Space group I4/mmm (No. 139)
Symmetry-distinct sites (fractional):
Rb (0.000, 0.000, 0.103)
Ga (0.000, 0.500, 0.250)
Ge (0.000, 0.000, 0.500)

=====

No. 6
DFT (PBE) results for crystalline Rb2GaGe at its relaxed geometry.

Properties
total energy	-0.14912	Ry per atom
energy above the most stable polymorph in this dataset	0.402	eV per atom

a b c (Å): 8.430 8.430 8.430
angles (deg): 90.00 90.00 90.00
Space group Fm-3m (No. 225)
Symmetry-distinct sites (fractional):
Rb (0.250, 0.250, 0.250)
Ga (0.000, 0.000, 0.000)
Ge (0.000, 0.000, 0.500)

=====

No. 7
DFT (PBE) results for crystalline Rb2Ga2Ge at its relaxed geometry.

Properties
total energy	-0.18013	Ry per atom
energy above the most stable polymorph in this dataset	0.143	eV per atom

a b c (Å): 7.051 7.051 6.053
angles (deg): 90.00 90.00 90.00
Space group P4/mbm (No. 127)
Symmetry-distinct sites (fractional):
Rb (0.188, 0.312, 0.000)
Ga (0.129, 0.629, 0.500)
Ge (0.000, 0.000, 0.500)

=====

No. 8
DFT (PBE) results for crystalline RbGa6Ge2 at its relaxed geometry.

Properties
total energy	-0.23065	Ry per atom

a b c (Å): 4.194 4.194 11.725
angles (deg): 90.00 90.00 90.00
Space group P4/mmm (No. 123)
Symmetry-distinct sites (fractional):
Rb (0.000, 0.000, 0.000)
Ga (0.000, 0.000, 0.500)
Ga (0.000, 0.500, 0.316)
Ga (0.500, 0.500, 0.500)
Ge (0.500, 0.500, 0.177)

=====

No. 9
DFT (PBE) results for crystalline Rb2Ga2Ge at its relaxed geometry.

Properties
total energy	-0.19065	Ry per atom
energy above the most stable polymorph in this dataset	0.000	eV per atom

a b c (Å): 8.885 12.020 8.720
angles (deg): 90.00 120.04 90.00
Space group C2/m (No. 12)
Symmetry-distinct sites (fractional):
Rb (0.038, 0.163, 0.263)
Ga (0.194, 0.500, 0.904)
Ga (0.198, 0.500, 0.291)
Ge (0.000, 0.389, 0.000)

=====

No. 10
DFT (PBE) results for crystalline RbGaGe2 at its relaxed geometry.

Properties
total energy	-0.24147	Ry per atom

a b c (Å): 8.131 6.660 8.367
angles (deg): 90.00 90.00 90.00
Space group Pnma (No. 62)
Symmetry-distinct sites (fractional):
Rb (0.006, 0.250, 0.145)
Ga (0.174, 0.750, 0.339)
Ge (0.142, 0.061, 0.552)

=====

No. 11
DFT (PBE) results for crystalline RbGa3Ge at its relaxed geometry.

Properties
total energy	-0.21472	Ry per atom
energy above the most stable polymorph in this dataset	0.000	eV per atom

a b c (Å): 11.197 8.784 11.072
angles (deg): 90.00 106.97 90.00
Space group C2/c (No. 15)
Symmetry-distinct sites (fractional):
Rb (0.087, 0.194, 0.118)
Ga (0.106, 0.387, 0.662)
Ga (0.126, 0.494, 0.897)
Ga (0.200, 0.022, 0.891)
Ge (0.000, 0.160, 0.750)
Ge (0.250, 0.250, 0.500)

=====

No. 12
DFT (PBE) results for crystalline Rb2Ga2Ge at its relaxed geometry.

Properties
total energy	-0.18652	Ry per atom
energy above the most stable polymorph in this dataset	0.056	eV per atom

a b c (Å): 11.161 8.096 7.731
angles (deg): 90.00 90.00 90.00
Space group Cmcm (No. 63)
Symmetry-distinct sites (fractional):
Rb (0.193, 0.000, 0.000)
Ga (0.000, 0.356, 0.091)
Ge (0.000, 0.326, 0.750)

=====

No. 13
DFT (PBE) results for crystalline RbGaGe2 at its relaxed geometry.

Properties
total energy	-0.23948	Ry per atom

a b c (Å): 4.4774 4.4774 20.1191
angles (deg): 90.00 90.00 120.00
Space group R-3m (No. 166, hexagonal axes)
Symmetry-distinct sites (fractional):
Rb (0.0000, 0.0000, 0.0000)
Ga (0.0000, 0.0000, 0.5000)
Ge (0.0000, 0.0000, 0.2051)

=====

No. 14
DFT (PBE) results for crystalline RbGa3Ge at its relaxed geometry.

Properties
total energy	-0.19802	Ry per atom
energy above the most stable polymorph in this dataset	0.227	eV per atom

a b c (Å): 5.343 5.343 5.343
angles (deg): 90.00 90.00 90.00
Space group Pm-3m (No. 221)
Symmetry-distinct sites (fractional):
Rb (0.000, 0.000, 0.000)
Ga (0.000, 0.500, 0.500)
Ge (0.500, 0.500, 0.500)

=====

No. 15
DFT (PBE) results for crystalline Rb2Ga2Ge at its relaxed geometry.

Properties
total energy	-0.15415	Ry per atom
energy above the most stable polymorph in this dataset	0.497	eV per atom

a b c (Å): 10.887 10.887 3.050
angles (deg): 90.00 90.00 90.00
Space group P4/mbm (No. 127)
Symmetry-distinct sites (fractional):
Rb (0.210, 0.290, 0.000)
Ga (0.081, 0.581, 0.500)
Ge (0.000, 0.000, 0.000)

=====

No. 16
DFT (PBE) results for crystalline Rb2Ga5Ge3 at its relaxed geometry.

Properties
total energy	-0.23546	Ry per atom
energy above the most stable polymorph in this dataset	0.000	eV per atom

a b c (Å): 10.772 13.439 6.576
angles (deg): 90.00 90.00 90.00
Space group Ibam (No. 72)
Symmetry-distinct sites (fractional):
Rb (0.246, 0.126, 0.000)
Ga (0.000, 0.257, 0.250)
Ga (0.000, 0.500, 0.250)
Ga (0.122, 0.125, 0.500)
Ge (0.000, 0.000, 0.250)
Ge (0.130, 0.379, 0.000)

=====

No. 17
DFT (PBE) results for crystalline RbGa2ReGe at its relaxed geometry.

Properties
total energy	-0.36052	Ry per atom

a b c (Å): 4.999 4.999 4.862
angles (deg): 90.00 90.00 90.00
Space group P4/mmm (No. 123)
Symmetry-distinct sites (fractional):
Rb (0.000, 0.000, 0.000)
Ga (0.000, 0.500, 0.500)
Re (0.500, 0.500, 0.500)
Ge (0.500, 0.500, 0.000)

=====

No. 18
DFT (PBE) results for crystalline RbGa2GeS6 at its relaxed geometry.

Properties
formation energy without anion corrections	-0.497	eV per atom
total energy	-0.30410	Ry per atom

a b c (Å): 12.674 13.847 7.681
angles (deg): 90.00 117.94 90.00
Space group C2/c (No. 15)
Symmetry-distinct sites (fractional):
Rb (0.000, 0.116, 0.250)
Ga (0.174, 0.421, 0.066)
Ge (0.000, 0.201, 0.750)
S (0.070, 0.282, 0.030)
S (0.122, 0.462, 0.329)
S (0.125, 0.090, 0.725)

=====

No. 19
DFT (PBE) results for crystalline Rb2GaGeS4 at its relaxed geometry.

Properties
formation energy without anion corrections	-0.798	eV per atom
total energy	-0.29837	Ry per atom

a b c (Å): 6.073 14.041 23.451
angles (deg): 90.00 90.00 90.00
Space group Fddd (No. 70, origin choice 2)
Symmetry-distinct sites (fractional):
Rb (0.125, 0.125, 0.305)
Ga (0.125, 0.125, 0.125)
Ge (0.125, 0.125, 0.625)
S (0.110, 0.281, 0.428)

=====

No. 20
DFT (PBE) results for crystalline RbGa2GeSe6 at its relaxed geometry.

Properties
formation energy without anion corrections	-0.468	eV per atom
total energy	-0.27364	Ry per atom

a b c (Å): 13.979 12.935 8.522
angles (deg): 90.00 123.45 90.00
Space group C2/c (No. 15)
Symmetry-distinct sites (fractional):
Rb (0.000, 0.181, 0.250)
Ga (0.184, 0.426, 0.043)
Ge (0.000, 0.163, 0.750)
Se (0.110, 0.459, 0.280)
Se (0.120, 0.054, 0.691)
Se (0.130, 0.247, 0.041)